Entry 1:
A plane-wave DFT calculation with PBE was carried out for an optimized crystal structure of Ca2BP2Os2.

Unit cell a=6.036 b=6.036 c=6.931 alpha=124.11 beta=124.11 gamma=38.86
Fractional coordinates of all 7 atoms:
1 Ca 0.067 0.067 0.315
2 Ca 0.933 0.933 0.685
3 B 0.500 0.500 0.000
4 P 0.314 0.314 0.272
5 P 0.686 0.686 0.728
6 Os 0.302 0.302 0.918
7 Os 0.698 0.698 0.082

**Energy of formation from the pure elements**: -0.69 eV per atom
**Total energy**: -48.780 eV per cell
**SG**: No. 12
**Crystal system**: monoclinic

Entry 2:
A plane-wave DFT calculation with PBE was carried out for an optimized crystal structure of PuThOs2.

Unit cell a=4.765 b=4.765 c=3.697 alpha=90.00 beta=90.00 gamma=90.00
Fractional coordinates of all 4 atoms:
1 Pu 0.000 0.000 0.000
2 Th 0.500 0.500 0.000
3 Os 0.000 0.500 0.500
4 Os 0.500 0.000 0.500

**Energy of formation from the pure elements**: 0.00 eV per atom
**Total energy**: -44.196 eV per cell
**E above lowest polymorph**: 65 meV/atom
**SG**: No. 123
**Crystal system**: tetragonal

Entry 3:
A plane-wave DFT calculation with PBE was carried out for an optimized crystal structure of RbTaPd2.

Unit cell a=6.501 b=6.501 c=6.501 alpha=107.47 beta=107.47 gamma=113.56
Fractional coordinates of all 8 atoms:
1 Rb 0.000 0.000 0.000
2 Rb 0.750 0.250 0.500
3 Ta 0.250 0.750 0.500
4 Ta 0.500 0.500 0.000
5 Pd 0.199 0.625 0.074
6 Pd 0.375 0.449 0.574
7 Pd 0.551 0.125 0.926
8 Pd 0.875 0.801 0.426

**Energy of formation from the pure elements**: 0.71 eV per atom
**Total energy**: -40.745 eV per cell
**E above lowest polymorph**: 0 meV/atom
**SG**: No. 122
**Crystal system**: tetragonal

Entry 4:
A plane-wave DFT calculation with PBE was carried out for an optimized crystal structure of Tb3Ho5Bi8.

Unit cell a=8.941 b=8.941 c=8.941 alpha=60.00 beta=60.00 gamma=60.00
Fractional coordinates of all 16 atoms:
1 Tb 0.000 0.500 0.500
2 Tb 0.500 0.000 0.500
3 Tb 0.500 0.500 0.000
4 Ho 0.000 0.000 0.000
5 Ho 0.000 0.000 0.500
6 Ho 0.000 0.500 0.000
7 Ho 0.500 0.000 0.000
8 Ho 0.500 0.500 0.500
9 Bi 0.249 0.249 0.249
10 Bi 0.249 0.750 0.750
11 Bi 0.250 0.250 0.751
12 Bi 0.250 0.751 0.250
13 Bi 0.750 0.249 0.750
14 Bi 0.750 0.750 0.249
15 Bi 0.751 0.250 0.250
16 Bi 0.751 0.751 0.751

**Energy of formation from the pure elements**: -0.85 eV per atom
**Total energy**: -81.450 eV per cell
**SG**: No. 166
**Crystal system**: trigonal

Entry 5:
A plane-wave DFT calculation with PBE was carried out for an optimized crystal structure of FeAg2Sb.

Unit cell a=5.649 b=5.649 c=4.600 alpha=107.65 beta=107.65 gamma=31.78
Fractional coordinates of all 4 atoms:
1 Fe 0.000 0.000 0.000
2 Ag 0.274 0.274 0.771
3 Ag 0.726 0.726 0.229
4 Sb 0.500 0.500 0.500

**Total energy**: -17.145 eV per cell
**Raw formation energy**: 286 meV per atom
**SG**: No. 12
**Crystal system**: monoclinic

Entry 6:
A plane-wave DFT calculation with PBE was carried out for an optimized crystal structure of La2AlTe2.

Unit cell a=6.263 b=6.263 c=6.263 alpha=120.69 beta=120.69 gamma=88.81
Fractional coordinates of all 5 atoms:
1 La 0.250 0.750 0.500
2 La 0.750 0.250 0.500
3 Al 0.000 0.000 0.000
4 Te 0.319 0.319 0.000
5 Te 0.681 0.681 0.000

**Total energy**: -23.409 eV per cell
**E above lowest polymorph**: 209 meV/atom
**Raw formation energy**: -706 meV per atom
**SG**: No. 139
**Crystal system**: tetragonal

Entry 7:
A plane-wave DFT calculation with PBE was carried out for an optimized crystal structure of PIrICl2.

Unit cell a=5.266 b=5.266 c=5.496 alpha=90.00 beta=90.00 gamma=90.00
Fractional coordinates of all 5 atoms:
1 P 0.000 0.000 0.000
2 Ir 0.500 0.500 0.000
3 I 0.000 0.000 0.500
4 Cl 0.000 0.500 0.500
5 Cl 0.500 0.000 0.500

**Total energy**: -10.982 eV per cell
**E above lowest polymorph**: 1418 meV/atom
**Raw formation energy**: 1706 meV per atom
**SG**: No. 123
**Crystal system**: tetragonal

Entry 8:
A plane-wave DFT calculation with PBE was carried out for an optimized crystal structure of ThCuPt.

Unit cell a=11.677 b=11.677 c=11.677 alpha=159.01 beta=46.01 gamma=139.54
Fractional coordinates of all 18 atoms:
1 Th 0.000 0.000 0.000
2 Th 0.088 0.923 0.165
3 Th 0.330 0.999 0.331
4 Th 0.427 0.927 0.500
5 Th 0.668 0.999 0.669
6 Th 0.759 0.923 0.835
7 Cu 0.193 0.295 0.898
8 Cu 0.358 0.629 0.729
9 Cu 0.397 0.295 0.102
10 Cu 0.729 0.293 0.436
11 Cu 0.857 0.293 0.564
12 Cu 0.900 0.629 0.271
13 Pt 0.021 0.613 0.408
14 Pt 0.066 0.310 0.756
15 Pt 0.206 0.613 0.592
16 Pt 0.534 0.612 0.922
17 Pt 0.554 0.310 0.244
18 Pt 0.690 0.612 0.078

**Energy of formation from the pure elements**: -0.78 eV per atom
**Total energy**: -119.418 eV per cell
**E above lowest polymorph**: 0 meV/atom
**SG**: No. 44
**Crystal system**: orthorhombic

Entry 9:
A plane-wave DFT calculation with PBE was carried out for an optimized crystal structure of GaCo.

Unit cell a=6.258 b=6.258 c=6.258 alpha=109.47 beta=109.47 gamma=109.47
Fractional coordinates of all 8 atoms:
1 Ga 0.000 0.000 0.403
2 Ga 0.000 0.403 0.000
3 Ga 0.403 0.000 0.000
4 Ga 0.597 0.597 0.597
5 Co 0.000 0.000 0.774
6 Co 0.000 0.774 0.000
7 Co 0.226 0.226 0.226
8 Co 0.774 0.000 0.000

**Energy of formation from the pure elements**: 0.50 eV per atom
**Total energy**: -36.518 eV per cell
**SG**: No. 217
**Crystal system**: cubic

Entry 10:
A plane-wave DFT calculation with PBE was carried out for an optimized crystal structure of MgMoPb2.

Unit cell a=5.181 b=5.181 c=5.181 alpha=60.00 beta=60.00 gamma=60.00
Fractional coordinates of all 4 atoms:
1 Mg 0.000 0.000 0.000
2 Mo 0.250 0.250 0.250
3 Pb 0.500 0.500 0.500
4 Pb 0.750 0.750 0.750

**Energy of formation from the pure elements**: 0.73 eV per atom
**Total energy**: -16.922 eV per cell
**SG**: No. 216
**Crystal system**: cubic

Entry 11:
A plane-wave DFT calculation with PBE was carried out for an optimized crystal structure of FeNiOs.

Unit cell a=3.880 b=3.880 c=3.880 alpha=60.00 beta=60.00 gamma=60.00
Fractional coordinates of all 3 atoms:
1 Fe 0.000 0.000 0.000
2 Ni 0.750 0.750 0.750
3 Os 0.250 0.250 0.250

**Energy of formation from the pure elements**: 0.51 eV per atom
**Total energy**: -23.938 eV per cell
**E above lowest polymorph**: 412 meV/atom
**SG**: No. 216
**Crystal system**: cubic

Entry 12:
A plane-wave DFT calculation with PBE was carried out for an optimized crystal structure of InAsCl2.

Unit cell a=5.190 b=5.190 c=5.190 alpha=60.00 beta=60.00 gamma=60.00
Fractional coordinates of all 4 atoms:
1 In 0.000 0.000 0.000
2 As 0.500 0.500 0.500
3 Cl 0.250 0.250 0.250
4 Cl 0.750 0.750 0.750

**Total energy**: -10.702 eV per cell
**E above lowest polymorph**: 574 meV/atom
**Raw formation energy**: 95 meV per atom
**SG**: No. 225
**Crystal system**: cubic